Entry w
InNi3F: relaxed, GGA+U.

Its density is 7.1 g/cm3.

The structure belongs to space group Pm-3m (No. 221); the cell edges are 4.1730, 4.1730 and 4.1730 Å and the angles 90.00°, 90.00° and 90.00°. Symmetry generates all atoms from In at (0.0000, 0.0000, 0.0000), Ni at (0.0000, 0.5000, 0.5000) and F at (0.5000, 0.5000, 0.5000).


Entry x
InNi3F: relaxed, GGA+U.

Its density is 4.4 g/cm3.

The structure belongs to space group Pm-3m (No. 221); the cell edges are 4.8913, 4.8913 and 4.8913 Å and the angles 90.00°, 90.00° and 90.00°. Symmetry generates all atoms from In at (0.0000, 0.0000, 0.0000), Ni at (0.0000, 0.0000, 0.5000) and F at (0.5000, 0.5000, 0.5000).


Which is the most stable structure? entry w is the most stable.


Entry w
InNiOF2: relaxed, GGA+U.

Its density is 5.8 g/cm3.

The structure belongs to space group P4/mmm (No. 123); the cell edges are 3.9694, 3.9694 and 4.1349 Å and the angles 90.00°, 90.00° and 90.00°. Symmetry generates all atoms from In at (0.0000, 0.0000, 0.0000), Ni at (0.5000, 0.5000, 0.5000), O at (0.5000, 0.5000, 0.0000) and F at (0.0000, 0.5000, 0.5000).


Entry x
InNiOF2: relaxed, GGA+U.

Its density is 5.1 g/cm3.

The structure belongs to space group P4/mmm (No. 123); the cell edges are 4.2564, 4.2564 and 4.0813 Å and the angles 90.00°, 90.00° and 90.00°. Symmetry generates all atoms from In at (0.0000, 0.0000, 0.0000), Ni at (0.5000, 0.5000, 0.5000), O at (0.0000, 0.0000, 0.5000) and F at (0.0000, 0.5000, 0.0000).


Which is the most stable structure? entry w is the most stable.